1.
Below is an optimized crystal structure of CaSnPd4, with properties calculated at the PBE-GGA level.

Computed properties:
As for the total energy: -59.5 eV/cell. As for the space-group type: Pmma. As for the density of states at the Fermi level: 2.793 states/eV/f.u.

Cell: 4.102 7.132 7.921 Å, 90.00 90.00 90.00°
Element x y z (fractional)
Pd 0.500 0.698 0.461
Pd 0.500 0.698 0.039
Sn 0.000 0.237 0.750
Sn 0.000 0.763 0.250
Pd 0.500 0.962 0.750
Pd 0.000 0.000 0.000
Pd 0.500 0.302 0.539
Ca 0.000 0.332 0.250
Ca 0.000 0.668 0.750
Pd 0.500 0.302 0.961
Pd 0.000 0.000 0.500
Pd 0.500 0.038 0.250

=====

2.
Below is an optimized crystal structure of Ca3Sn2Pd4, with properties calculated at the PBE-GGA level.

Computed properties:
As for the total energy: -41.5 eV/cell. As for the space-group type: C2/m. As for the density of states at the Fermi level: 4.308 states/eV/f.u.

Cell: 4.542 5.662 8.883 Å, 96.54 90.00 113.65°
Element x y z (fractional)
Sn 0.680 0.361 0.779
Pd 0.275 0.551 0.912
Pd 0.087 0.173 0.631
Ca 0.000 0.000 0.000
Ca 0.625 0.251 0.389
Ca 0.375 0.749 0.611
Pd 0.725 0.449 0.088
Sn 0.320 0.639 0.221
Pd 0.913 0.827 0.369

=====

3.
Below is an optimized crystal structure of Ca3Sn12Pd5, with properties calculated at the PBE-GGA level.

Computed properties:
As for the total energy: -332.8 eV/cell. As for the space-group type: Ia-3d. As for the density of states at the Fermi level: 11.039 states/eV/f.u.

Cell: 14.581 14.581 14.581 Å, 109.47 109.47 109.47°
Element x y z (fractional)
Pd 0.875 0.250 0.625
Sn 0.799 0.484 0.419
Ca 0.125 0.250 0.875
Sn 0.880 0.066 0.581
Sn 0.686 0.484 0.566
Sn 0.434 0.016 0.314
Ca 0.750 0.375 0.125
Pd 0.750 0.625 0.375
Sn 0.081 0.701 0.516
Pd 0.625 0.750 0.875
Sn 0.201 0.686 0.120
Sn 0.880 0.814 0.799
Sn 0.419 0.984 0.799
Pd 0.500 0.500 0.500
Sn 0.934 0.120 0.919
Sn 0.299 0.919 0.984
Pd 0.375 0.250 0.125
Sn 0.016 0.581 0.701
Sn 0.581 0.566 0.880
Pd 0.250 0.875 0.125
Pd 0.000 0.000 0.000
Ca 0.625 0.250 0.375
Sn 0.516 0.314 0.934
Sn 0.081 0.380 0.066
Pd 0.875 0.625 0.750
Sn 0.934 0.814 0.516
Sn 0.919 0.299 0.484
Sn 0.620 0.701 0.686
Ca 0.875 0.125 0.250
Sn 0.186 0.120 0.701
Ca 0.375 0.625 0.250
Sn 0.919 0.620 0.934
Pd 0.125 0.375 0.250
Pd 0.500 0.000 0.500
Ca 0.750 0.875 0.625
Ca 0.125 0.875 0.750
Pd 0.125 0.750 0.375
Sn 0.380 0.299 0.314
Sn 0.566 0.581 0.380
Pd 0.750 0.125 0.875
Pd 0.000 0.000 0.500
Sn 0.016 0.434 0.814
Sn 0.581 0.016 0.201
Sn 0.434 0.419 0.620
Pd 0.000 0.500 0.500
Ca 0.250 0.125 0.375
Sn 0.120 0.934 0.419
Sn 0.186 0.066 0.984
Sn 0.201 0.516 0.581
Sn 0.984 0.419 0.299
Sn 0.701 0.620 0.186
Sn 0.620 0.919 0.434
Sn 0.814 0.880 0.299
Pd 0.500 0.000 0.000
Sn 0.299 0.380 0.814
Sn 0.984 0.566 0.186
Pd 0.375 0.125 0.750
Ca 0.250 0.625 0.875
Sn 0.120 0.186 0.201
Sn 0.314 0.516 0.434
Sn 0.484 0.799 0.919
Sn 0.066 0.880 0.081
Pd 0.250 0.375 0.625
Ca 0.625 0.375 0.750
Sn 0.566 0.984 0.686
Sn 0.314 0.799 0.380
Sn 0.419 0.434 0.120
Sn 0.066 0.186 0.484
Sn 0.701 0.081 0.016
Sn 0.799 0.314 0.880
Ca 0.875 0.750 0.125
Sn 0.380 0.081 0.566
Ca 0.375 0.750 0.625
Sn 0.686 0.201 0.620
Sn 0.516 0.201 0.081
Pd 0.000 0.500 0.000
Pd 0.500 0.500 0.000
Sn 0.814 0.934 0.016
Sn 0.484 0.686 0.066
Pd 0.625 0.875 0.250

=====

4.
Below is an optimized crystal structure of CaSn4Pd2, with properties calculated at the PBE-GGA level.

Computed properties:
As for the total energy: -129.0 eV/cell. As for the space-group type: Pnma. As for the density of states at the Fermi level: 2.476 states/eV/f.u.

Cell: 4.520 7.490 18.959 Å, 90.00 90.00 90.00°
Element x y z (fractional)
Sn 0.750 0.987 0.067
Sn 0.250 0.365 0.033
Pd 0.750 0.242 0.461
Ca 0.250 0.029 0.356
Sn 0.750 0.753 0.807
Sn 0.750 0.513 0.567
Sn 0.250 0.135 0.533
Pd 0.750 0.042 0.215
Ca 0.250 0.471 0.856
Ca 0.750 0.529 0.144
Sn 0.750 0.865 0.467
Pd 0.750 0.258 0.961
Sn 0.250 0.826 0.182
Pd 0.250 0.742 0.039
Ca 0.750 0.971 0.644
Sn 0.750 0.635 0.967
Sn 0.750 0.747 0.307
Sn 0.250 0.674 0.682
Sn 0.250 0.013 0.933
Sn 0.750 0.326 0.318
Pd 0.250 0.758 0.539
Sn 0.750 0.174 0.818
Pd 0.250 0.958 0.785
Pd 0.250 0.542 0.285
Sn 0.250 0.487 0.433
Sn 0.250 0.253 0.693
Sn 0.250 0.247 0.193
Pd 0.750 0.458 0.715

=====

5.
Below is an optimized crystal structure of Ca4Sn8Pd, with properties calculated at the PBE-GGA level.

Computed properties:
As for the total energy: -51.4 eV/cell. As for the space-group type: Pmm2. As for the density of states at the Fermi level: 7.406 states/eV/f.u.

Cell: 4.570 4.702 16.406 Å, 90.00 90.00 90.00°
Element x y z (fractional)
Ca 0.500 0.000 0.908
Sn 0.500 0.000 0.583
Ca 0.500 0.500 0.395
Sn 0.000 0.500 0.223
Sn 0.000 0.500 0.925
Ca 0.000 0.500 0.608
Sn 0.500 0.500 0.061
Sn 0.000 0.000 0.466
Pd 0.000 0.000 0.307
Sn 0.500 0.500 0.762
Ca 0.000 0.000 0.084
Sn 0.000 0.000 0.758
Sn 0.500 0.000 0.224

=====

6.
Below is an optimized crystal structure of Ca12SnPd6, with properties calculated at the PBE-GGA level.

Computed properties:
As for the total energy: -69.2 eV/cell. As for the space-group type: Im-3. As for the density of states at the Fermi level: 13.311 states/eV/f.u.

Cell: 8.894 8.894 8.894 Å, 109.47 109.47 109.47°
Element x y z (fractional)
Pd 0.131 0.631 0.500
Ca 0.879 0.180 0.698
Pd 0.631 0.500 0.131
Ca 0.302 0.482 0.180
Ca 0.820 0.302 0.121
Ca 0.698 0.518 0.820
Ca 0.180 0.698 0.879
Ca 0.518 0.820 0.698
Ca 0.482 0.180 0.302
Pd 0.869 0.369 0.500
Ca 0.121 0.820 0.302
Pd 0.500 0.131 0.631
Ca 0.820 0.698 0.518
Pd 0.500 0.869 0.369
Ca 0.698 0.879 0.180
Pd 0.369 0.500 0.869
Ca 0.302 0.121 0.820
Sn 0.000 0.000 0.000
Ca 0.180 0.302 0.482

=====

7.
Below is an optimized crystal structure of Ca3Sn4Pd2, with properties calculated at the PBE-GGA level.

Computed properties:
As for the total energy: -38.5 eV/cell. As for the space-group type: C2/m. As for the density of states at the Fermi level: 3.815 states/eV/f.u.

Cell: 4.831 6.058 9.017 Å, 106.47 90.00 113.50°
Element x y z (fractional)
Ca 0.627 0.254 0.686
Ca 0.373 0.746 0.314
Sn 0.901 0.803 0.589
Sn 0.284 0.567 0.925
Pd 0.669 0.339 0.346
Pd 0.331 0.661 0.654
Sn 0.716 0.433 0.075
Ca 0.000 0.000 0.000
Sn 0.099 0.197 0.411

=====

8.
Below is an optimized crystal structure of Ca11Sn9Pd4, with properties calculated at the PBE-GGA level.

Computed properties:
As for the total energy: -95.4 eV/cell. As for the space-group type: Cmmm. As for the density of states at the Fermi level: 6.581 states/eV/f.u.

Cell: 3.973 13.026 13.026 Å, 112.37 90.00 90.00°
Element x y z (fractional)
Pd 0.500 0.243 0.448
Ca 0.000 0.933 0.589
Ca 0.000 0.836 0.164
Sn 0.500 0.081 0.221
Sn 0.500 0.221 0.081
Ca 0.000 0.411 0.067
Ca 0.000 0.164 0.836
Ca 0.000 0.067 0.411
Sn 0.500 0.500 0.500
Pd 0.500 0.448 0.243
Ca 0.000 0.000 0.000
Sn 0.500 0.628 0.164
Ca 0.000 0.692 0.692
Ca 0.000 0.628 0.372
Sn 0.500 0.836 0.372
Ca 0.000 0.589 0.933
Pd 0.500 0.552 0.757
Sn 0.500 0.779 0.919
Sn 0.500 0.164 0.628
Ca 0.000 0.372 0.628
Pd 0.500 0.757 0.552
Ca 0.000 0.308 0.308
Sn 0.500 0.919 0.779
Sn 0.500 0.372 0.836

=====

9.
Below is an optimized crystal structure of CaSn2Pd3, with properties calculated at the PBE-GGA level.

Computed properties:
As for the total energy: -88.5 eV/cell. As for the space-group type: C2/m. As for the density of states at the Fermi level: 3.125 states/eV/f.u.

Cell: 4.241 9.222 10.252 Å, 104.91 90.00 103.29°
Element x y z (fractional)
Pd 0.958 0.916 0.672
Pd 0.785 0.570 0.602
Sn 0.545 0.091 0.780
Pd 0.683 0.366 0.962
Ca 0.830 0.660 0.286
Sn 0.455 0.909 0.220
Sn 0.811 0.622 0.872
Pd 0.317 0.634 0.038
Pd 0.215 0.430 0.398
Pd 0.500 0.000 0.500
Sn 0.362 0.723 0.542
Ca 0.170 0.340 0.714
Pd 0.607 0.215 0.186
Ca 0.000 0.000 0.000
Sn 0.189 0.378 0.128
Pd 0.393 0.785 0.814
Sn 0.638 0.277 0.458
Pd 0.042 0.084 0.328

=====

10.
Below is an optimized crystal structure of Sr2CaSn3Pd4, with properties calculated at the PBE-GGA level.

Computed properties:
As for the total energy: -45.5 eV/cell. As for the space-group type: P-4m2. As for the density of states at the Fermi level: 5.685 states/eV/f.u.

Cell: 4.681 4.681 11.240 Å, 90.00 90.00 90.00°
Element x y z (fractional)
Sr 0.000 0.500 0.770
Sn 0.500 0.000 0.881
Pd 0.000 0.000 0.000
Sn 0.000 0.500 0.119
Ca 0.500 0.500 0.500
Pd 0.000 0.500 0.356
Pd 0.500 0.500 0.000
Sr 0.500 0.000 0.230
Sn 0.000 0.000 0.500
Pd 0.500 0.000 0.644

=====

11.
Below is an optimized crystal structure of CaTbSnPd, with properties calculated at the PBE-GGA level.

Computed properties:
As for the total energy: -18.6 eV/cell. As for the space-group type: F-43m. As for the density of states at the Fermi level: 2.328 states/eV/f.u.

Cell: 5.187 5.187 5.187 Å, 60.00 60.00 60.00°
Element x y z (fractional)
Sn 0.250 0.250 0.250
Pd 0.750 0.750 0.750
Tb 0.000 0.000 0.000
Ca 0.500 0.500 0.500

=====

12.
Below is an optimized crystal structure of CaTi2SnPd, with properties calculated at the PBE-GGA level.

Computed properties:
As for the total energy: -19.8 eV/cell. As for the space-group type: P4/mmm. As for the density of states at the Fermi level: 5.217 states/eV/f.u.

Cell: 4.545 5.372 4.545 Å, 90.00 90.00 90.00°
Element x y z (fractional)
Pd 0.500 0.500 0.500
Ti 0.500 0.000 0.000
Ti 0.000 0.000 0.500
Sn 0.000 0.500 0.000
Ca 0.000 0.000 0.000

=====

13.
Below is an optimized crystal structure of CaTmSnPd, with properties calculated at the PBE-GGA level.

Computed properties:
As for the total energy: -18.4 eV/cell. As for the space-group type: F-43m. As for the density of states at the Fermi level: 2.229 states/eV/f.u.

Cell: 5.138 5.138 5.138 Å, 60.00 60.00 60.00°
Element x y z (fractional)
Sn 0.750 0.750 0.750
Tm 0.000 0.000 0.000
Ca 0.500 0.500 0.500
Pd 0.250 0.250 0.250

=====

14.
Below is an optimized crystal structure of CaTm2SnPd4, with properties calculated at the PBE-GGA level.

Computed properties:
As for the total energy: -42.2 eV/cell. As for the space-group type: R-3m. As for the density of states at the Fermi level: 4.644 states/eV/f.u.

Cell: 4.832 4.832 8.450 Å, 73.39 73.39 60.00°
Element x y z (fractional)
Ca 0.000 0.000 0.000
Sn 0.500 0.500 0.500
Tm 0.247 0.247 0.259
Pd 0.873 0.873 0.382
Pd 0.127 0.127 0.618
Pd 0.378 0.378 0.865
Pd 0.622 0.622 0.135
Tm 0.753 0.753 0.741

=====

15.
Below is an optimized crystal structure of Ca2ZnSn4Pd3, with properties calculated at the PBE-GGA level.

Computed properties:
As for the total energy: -42.7 eV/cell. As for the space-group type: P-4m2. As for the density of states at the Fermi level: 3.659 states/eV/f.u.

Cell: 4.437 4.437 11.577 Å, 90.00 90.00 90.00°
Element x y z (fractional)
Pd 0.000 0.500 0.137
Pd 0.500 0.000 0.863
Sn 0.000 0.500 0.364
Sn 0.500 0.000 0.636
Pd 0.000 0.000 0.500
Ca 0.000 0.500 0.746
Sn 0.000 0.000 0.000
Zn 0.500 0.500 0.500
Sn 0.500 0.500 0.000
Ca 0.500 0.000 0.254

=====

16.
Below is an optimized crystal structure of CaZnSn2Pd4, with properties calculated at the PBE-GGA level.

Computed properties:
As for the total energy: -36.9 eV/cell. As for the space-group type: R-3m. As for the density of states at the Fermi level: 3.703 states/eV/f.u.

Cell: 4.587 4.587 8.562 Å, 74.46 74.46 60.00°
Element x y z (fractional)
Ca 0.000 0.000 0.000
Zn 0.500 0.500 0.500
Pd 0.397 0.397 0.810
Pd 0.132 0.132 0.605
Pd 0.603 0.603 0.190
Sn 0.247 0.247 0.258
Sn 0.753 0.753 0.742
Pd 0.868 0.868 0.395

=====

17.
Below is an optimized crystal structure of Sr3CaPd, with properties calculated at the PBE-GGA level.

Computed properties:
As for the total energy: -27.3 eV/cell. As for the space-group type: P1. As for the density of states at the Fermi level: 4.814 states/eV/f.u.

Cell: 8.248 8.490 8.148 Å, 75.36 127.00 104.62°
Element x y z (fractional)
Ca 0.785 0.460 0.930
Pd 0.826 0.644 0.204
Sr 0.285 0.710 0.414
Sr 0.869 0.333 0.505
Pd 0.568 0.025 0.444
Sr 0.867 0.833 0.503
Sr 0.789 0.963 0.916
Sr 0.374 0.582 0.003
Ca 0.383 0.089 0.011
Sr 0.293 0.211 0.427

=====

18.
Below is an optimized crystal structure of Sr3CaPd, with properties calculated at the PBE-GGA level.

Computed properties:
As for the total energy: -26.3 eV/cell. As for the space-group type: R-3. As for the density of states at the Fermi level: 5.076 states/eV/f.u.

Cell: 9.419 9.419 9.419 Å, 49.10 49.10 49.10°
Element x y z (fractional)
Sr 0.708 0.351 0.123
Ca 0.185 0.185 0.185
Pd 0.306 0.306 0.306
Ca 0.815 0.815 0.815
Pd 0.694 0.694 0.694
Sr 0.351 0.123 0.708
Sr 0.123 0.708 0.351
Sr 0.292 0.649 0.877
Sr 0.877 0.292 0.649
Sr 0.649 0.877 0.292